This record from Alexandria via LeMat-Bulk describes a geometry-optimized SrNF5 structure. The functional is PBE.

The structure in POSCAR format:
```
SrNF5
1.0
-3.312 4.189 2.063
3.312 -4.189 2.063
3.312 4.189 -2.063
Sr N F
1 1 5
Cartesian
0.000 0.000 0.000 Sr
0.000 4.189 0.123 N
3.312 -1.815 1.998 F
1.908 4.189 -0.018 F
1.404 0.000 2.045 F
3.312 1.815 1.998 F
0.000 4.189 1.458 F
```

Output
* ΔE_f (raw): -37.1 kcal/mol of atoms